# 1
Ca5AlGa2: optimized geometry, PBE.

```
Ca5AlGa2
1.0
7.258 0.000 -3.426
-1.617 7.076 -3.426
-0.023 -0.029 9.352
Al Ca Ga
2 10 4
Cartesian
4.219 5.292 -0.464
1.399 1.754 2.963
2.861 2.255 -0.017
-0.636 3.755 4.731
6.253 3.292 -2.232
4.628 1.254 3.727
4.381 6.830 -3.443
0.000 0.000 0.000
2.820 3.538 -3.426
2.756 4.791 2.516
1.236 0.217 5.942
0.989 5.793 -1.228
0.177 2.752 -1.713
1.385 6.290 -4.378
4.255 0.786 -2.474
5.464 4.323 -5.139
```

Volume (A^3/atom): 29.9
Space group: I4/mcm
DFT total energy (eV per atom): -2.79

***

# 2
Tb3Pr2Er6Tm: optimized geometry, PBE.

```
Tb3Pr2Er6Tm
1.0
6.153 0.001 0.006
-3.074 5.330 0.006
-1.035 -1.791 11.560
Tb Er Tm Pr
3 6 1 2
Cartesian
-2.055 3.547 5.786
1.022 1.770 5.786
4.099 -0.007 5.786
2.055 3.558 2.929
-1.023 1.769 2.918
2.043 -0.002 2.918
-0.010 -0.018 8.644
0.001 3.542 8.654
3.067 1.771 8.654
0.000 0.000 0.000
3.076 1.778 0.006
0.003 3.553 0.006
```

Volume (A^3/atom): 31.6
Space group: C2/m
DFT total energy (eV per atom): -4.59

***

# 3
AcPr7Hg4: optimized geometry, PBE.

```
AcPr7Hg4
1.0
6.110 0.000 0.000
3.055 8.710 0.954
3.055 0.975 7.455
Hg Pr Ac
4 7 1
Cartesian
9.165 6.682 7.742
6.110 3.070 5.056
6.110 6.615 3.353
3.055 3.003 0.667
3.055 5.475 2.640
9.165 8.246 4.758
9.165 4.209 5.769
3.055 1.438 3.651
6.110 3.058 1.987
3.055 0.000 0.000
6.110 6.626 6.422
0.000 0.000 0.000
```

Volume (A^3/atom): 32.6
Space group: C2/m
DFT total energy (eV per atom): -3.34

***

# 4
BaNbSi2Se8: optimized geometry, PBE.

```
BaNbSi2Se8
1.0
-0.179 6.086 1.997
-2.627 -4.624 3.575
7.840 -1.166 4.254
Se Ba Si Nb
8 1 2 1
Cartesian
-0.893 2.501 2.578
5.927 -2.204 7.248
-0.089 -0.904 6.250
0.823 -3.421 3.879
1.664 0.000 3.267
4.211 3.718 5.947
5.123 1.201 3.576
3.370 0.297 6.559
0.000 0.000 0.000
3.957 -1.911 6.179
1.077 2.208 3.647
3.920 -0.583 2.127
```

Volume (A^3/atom): 26.7
Space group: P-3
E_form (uncorrected) (eV per atom): -0.64

***

# 5
Lu2NiN: optimized geometry, PBE.

```
Lu2NiN
1.0
3.382 0.000 0.000
1.691 2.929 0.000
1.691 0.976 6.607
Lu N Ni
2 1 1
Cartesian
5.074 2.929 5.243
1.691 0.976 1.364
0.000 0.000 0.000
3.382 1.953 3.304
```

Volume (A^3/atom): 16.4
Space group: R-3m
E_form (uncorrected) (eV per atom): -0.91

***

# 6
CsUFeS4: optimized geometry, PBE.

```
CsUFeS4
1.0
6.274 0.000 -0.252
0.000 6.413 0.000
-2.786 0.000 9.162
S U Cs Fe
8 2 2 2
Cartesian
1.352 1.603 7.203
5.248 3.131 2.671
1.241 4.810 5.213
-1.760 6.337 6.238
5.248 0.076 2.671
-1.760 3.282 6.238
2.247 1.603 3.696
2.137 4.810 1.706
3.530 4.810 3.934
-0.042 1.603 4.975
1.440 1.603 0.413
2.049 4.810 8.496
3.048 1.603 5.761
0.440 4.810 3.148
```

Volume (A^3/atom): 26.0
Space group: P2_1/m
E_form (uncorrected) (eV per atom): -1.04

***

# 7
GaRe2Pb: optimized geometry, PBE.

```
GaRe2Pb
1.0
4.161 0.000 0.000
0.000 4.161 0.000
2.080 2.080 9.337
Re Pb Ga
4 2 2
Cartesian
1.428 3.121 2.334
3.121 3.509 7.002
2.733 1.040 2.334
5.201 4.813 7.002
0.000 0.000 0.000
4.161 2.080 4.668
2.080 4.161 4.668
2.080 2.080 0.000
```

Volume (A^3/atom): 20.2
Space group: I-42d
Energy above the most stable polymorph in this dataset (eV/atom): 0.000

***

# 8
MoRuPt2: optimized geometry, PBE.

```
MoRuPt2
1.0
2.741 0.000 0.000
0.000 4.031 0.000
0.000 0.000 5.468
Mo Pt Ru
1 2 1
Cartesian
1.371 2.016 4.101
0.000 0.000 0.000
0.000 0.000 2.734
1.371 2.016 1.367
```

Volume (A^3/atom): 15.1
Space group: Pmmm
Energy above the most stable polymorph in this dataset (eV/atom): 0.067

***

# 9
NaSm2Y: optimized geometry, PBE.

```
NaSm2Y
1.0
-0.464 3.126 1.574
-3.237 0.221 -1.393
-4.115 -5.024 8.764
Sm Y Na
2 1 1
Cartesian
-3.151 -3.848 6.712
-0.964 -1.177 2.052
-1.850 1.674 0.091
-3.908 -0.839 4.473
```

Volume (A^3/atom): 34.0
Space group: P4/mmm
Energy above the most stable polymorph in this dataset (eV/atom): 0.027

***

# 10
PrTm2Pt: optimized geometry, PBE.

```
PrTm2Pt
1.0
-0.089 3.713 -1.049
-1.711 1.032 -3.303
-8.738 2.673 3.105
Pt Tm Pr
1 2 1
Cartesian
0.000 0.000 0.000
-2.029 1.773 -0.651
-8.508 5.645 -0.597
-5.269 3.709 -0.624
```

Volume (A^3/atom): 30.3
Space group: R-3m
Energy above the most stable polymorph in this dataset (eV/atom): 0.145

***

# 11
CsRb2Mg: optimized geometry, PBE.

```
CsRb2Mg
1.0
6.738 0.000 0.000
0.000 6.420 0.000
0.000 0.000 6.420
Cs Mg Rb
1 1 2
Cartesian
3.369 0.000 0.000
3.369 3.210 3.210
0.000 0.000 3.210
0.000 3.210 0.000
```

Volume (A^3/atom): 69.4
Space group: P4/mmm
DFT total energy (eV per atom): -0.92

***

# 12
SrMnOs2: optimized geometry, PBE.

```
SrMnOs2
1.0
-3.648 -1.151 2.031
-0.590 -4.110 1.231
0.967 -0.624 5.998
Mn Os Sr
1 2 1
Cartesian
-1.186 -1.646 1.557
-2.004 -4.200 7.873
0.858 -0.676 5.775
-1.608 -2.929 4.684
```

Volume (A^3/atom): 22.6
Space group: R3m
Energy above the most stable polymorph in this dataset (eV/atom): 0.000

***

# 13
YSiI2O: optimized geometry, PBE.

```
YSiI2O
1.0
5.883 0.000 0.000
0.000 5.883 0.000
0.000 0.000 3.595
Si I O Y
1 2 1 1
Cartesian
0.000 0.000 0.000
2.941 0.000 0.000
0.000 2.941 0.000
0.000 0.000 1.798
2.941 2.941 1.798
```

Volume (A^3/atom): 24.9
Space group: P4/mmm
E_form (uncorrected) (eV per atom): -0.60
Energy above the most stable polymorph in this dataset (eV/atom): 0.123

***

# 14
Ac2CeTe: optimized geometry, PBE.

```
Ac2CeTe
1.0
-0.954 1.603 3.605
-2.911 -2.789 0.469
5.997 -5.576 4.067
Ac Ce Te
2 1 1
Cartesian
4.339 -4.034 2.943
1.658 -1.541 1.124
-1.933 -0.593 2.037
1.065 -3.381 4.071
```

Volume (A^3/atom): 37.7
Space group: P4/mmm
E_form (uncorrected) (eV per atom): -0.48
Energy above the most stable polymorph in this dataset (eV/atom): 0.000

***

# 15
CaReNi2: optimized geometry, PBE.

```
CaReNi2
1.0
0.000 3.133 3.133
3.133 0.000 3.133
3.133 3.133 0.000
Ni Ca Re
2 1 1
Cartesian
4.699 4.699 4.699
1.566 1.566 1.566
0.000 0.000 0.000
3.133 3.133 3.133
```

Volume (A^3/atom): 15.4
Space group: Fm-3m
Energy above the most stable polymorph in this dataset (eV/atom): 0.339

***

# 16
ZrTl2HPd: optimized geometry, PBE.

```
ZrTl2HPd
1.0
5.679 0.000 0.000
0.000 3.583 0.000
0.000 0.000 5.679
Zr Pd H Tl
1 1 1 2
Cartesian
0.000 0.000 0.000
2.839 1.792 2.839
0.000 1.792 0.000
2.839 0.000 0.000
0.000 0.000 2.839
```

Volume (A^3/atom): 23.1
Space group: P4/mmm
DFT total energy (eV per atom): -3.93

***

# 17
HoCd6Hg2: optimized geometry, PBE.

```
HoCd6Hg2
1.0
3.791 0.061 0.467
1.404 6.709 3.557
-0.071 -0.043 8.491
Cd Hg Ho
6 2 1
Cartesian
1.346 3.381 4.638
3.487 4.442 2.650
3.779 3.346 7.877
3.347 1.178 3.754
1.708 2.328 1.375
1.778 5.548 8.762
3.044 5.617 6.009
2.080 1.110 6.507
0.000 0.000 0.000
```

Volume (A^3/atom): 24.0
Space group: C2/m
Energy above the most stable polymorph in this dataset (eV/atom): 0.000

***

# 18
Ta2TiRe: optimized geometry, PBE.

```
Ta2TiRe
1.0
-3.033 -0.139 6.664
3.155 -6.479 1.301
2.271 -2.025 5.015
Ta Ti Re
4 2 2
Cartesian
1.885 -7.463 10.761
-1.005 -1.407 5.738
1.675 -3.848 6.717
2.232 -4.570 2.743
0.061 -3.309 3.982
2.744 -5.907 5.149
0.000 0.000 0.000
-0.350 -2.737 7.831
```

Volume (A^3/atom): 18.5
Space group: I-42d
DFT total energy (eV per atom): -10.50

***

# 19
HfIr4: optimized geometry, PBE.

```
HfIr4
1.0
-0.361 -0.424 -4.177
5.196 1.866 -0.638
-0.109 -6.999 2.845
Ir Hf
8 2
Cartesian
1.785 -0.856 -0.067
3.945 -2.894 -0.047
2.940 -4.701 -1.903
1.453 -3.789 0.259
-0.180 -0.212 -2.088
2.417 0.721 -2.407
3.273 -1.768 -2.229
0.780 -2.663 -1.923
4.385 0.072 -0.386
0.341 -5.629 -1.584
```

Volume (A^3/atom): 15.7
Space group: Imma
Energy above the most stable polymorph in this dataset (eV/atom): 0.000

***

no.,D(E_F) (states/eV/f.u.)
1,6.88
2,14.98
3,15.26
4,9.65
5,2.06
6,6.35
7,0.80
8,5.56
9,4.58
10,5.42
11,2.82
12,3.65
13,3.69
14,7.90
15,6.52
16,2.64
17,3.87
18,2.89
19,5.98